Entry 1:
This record from the Open Quantum Materials Database describes a relaxed Er3Cd3InAu2 crystal. The functional is GGA-PBE.

Structure (POSCAR):
```
Er3Cd3InAu2
1.0
7.9919 0.0000 0.0000
-3.9960 6.9212 0.0000
0.0000 0.0000 3.7403
Er Cd In Au
3 3 1 2
direct
0.0000 0.5944 0.0000 Er
0.4056 0.4056 0.0000 Er
0.5944 0.0000 0.0000 Er
0.0000 0.2786 0.5000 Cd
0.2786 0.0000 0.5000 Cd
0.7214 0.7214 0.5000 Cd
0.0000 0.0000 0.0000 In
0.3333 0.6667 0.5000 Au
0.6667 0.3333 0.5000 Au
```

- Crystal system: hexagonal
- Symmetry: P-62m
- Total energy: -3.427 eV per atom

Entry 2:
This record from the Open Quantum Materials Database describes a relaxed BeAsPtAu crystal. The functional is GGA-PBE.

Structure (POSCAR):
```
BeAsPtAu
1.0
0.0000 3.1276 3.1276
3.1276 0.0000 3.1276
3.1276 3.1276 0.0000
Be As Pt Au
1 1 1 1
direct
0.0000 0.0000 0.0000 Be
0.5000 0.5000 0.5000 As
0.2500 0.2500 0.2500 Pt
0.7500 0.7500 0.7500 Au
```

- Offset from the most stable computed form: 0 meV/atom
- Crystal system: cubic
- Symmetry: F-43m

Entry 3:
This record from the Open Quantum Materials Database describes a relaxed TaTlFeCu crystal. The functional is GGA-PBE.

Structure (POSCAR):
```
TaTlFeCu
1.0
0.0000 3.1521 3.1521
3.1521 0.0000 3.1521
3.1521 3.1521 0.0000
Ta Tl Fe Cu
1 1 1 1
direct
0.0000 0.0000 0.0000 Ta
0.5000 0.5000 0.5000 Tl
0.2500 0.2500 0.2500 Fe
0.7500 0.7500 0.7500 Cu
```

- Offset from the most stable computed form: 0 meV/atom
- Crystal system: cubic
- Symmetry: F-43m

Entry 4:
This record from the Open Quantum Materials Database describes a relaxed SrDySc crystal. The functional is GGA-PBE.

Structure (POSCAR):
```
SrDySc
1.0
0.0000 3.9274 3.9274
3.9274 0.0000 3.9274
3.9274 3.9274 0.0000
Sr Dy Sc
1 1 1
direct
0.0000 0.0000 0.0000 Sr
0.5000 0.5000 0.5000 Dy
0.7500 0.7500 0.7500 Sc
```

- Crystal system: cubic
- Symmetry: F-43m
- Total energy: -3.395 eV per atom

Entry 5:
This record from the Open Quantum Materials Database describes a relaxed KAgBi crystal. The functional is GGA-PBE.

Structure (POSCAR):
```
KAgBi
1.0
0.0000 3.6532 3.6532
3.6532 0.0000 3.6532
3.6532 3.6532 0.0000
K Ag Bi
1 1 1
direct
0.0000 0.0000 0.0000 K
0.7500 0.7500 0.7500 Ag
0.5000 0.5000 0.5000 Bi
```

- Offset from the most stable computed form: 0 meV/atom
- Crystal system: cubic
- Symmetry: F-43m

Entry 6:
This record from the Open Quantum Materials Database describes a relaxed ErZrW crystal. The functional is GGA-PBE.

Structure (POSCAR):
```
ErZrW
1.0
0.0000 3.3164 3.3164
3.3164 0.0000 3.3164
3.3164 3.3164 0.0000
Er Zr W
1 1 1
direct
0.0000 0.0000 0.0000 Er
0.2500 0.2500 0.2500 Zr
0.5000 0.5000 0.5000 W
```

- Energy of formation from the pure elements: 109.27 kJ/mol of atoms
- Crystal system: cubic
- Symmetry: F-43m

Entry 7:
This record from the Open Quantum Materials Database describes a relaxed PaZnCo crystal. The functional is GGA-PBE.

Structure (POSCAR):
```
PaZnCo
1.0
0.0000 3.1756 3.1756
3.1756 0.0000 3.1756
3.1756 3.1756 0.0000
Pa Zn Co
1 1 1
direct
0.0000 0.0000 0.0000 Pa
0.7500 0.7500 0.7500 Zn
0.2500 0.2500 0.2500 Co
```

- Energy of formation from the pure elements: 64.36 kJ/mol of atoms
- Crystal system: cubic
- Symmetry: F-43m

Entry 8:
This record from the Open Quantum Materials Database describes a relaxed Y2Co17 crystal. The functional is GGA-PBE.

Structure (POSCAR):
```
Y2Co17
1.0
4.1327 2.3860 4.0195
-4.1327 2.3860 4.0195
0.0000 -4.7720 4.0195
Y Co
2 17
direct
0.1554 0.1554 0.1554 Y
0.8446 0.8446 0.8446 Y
0.0000 0.5000 0.5000 Co
0.1538 0.1538 0.6500 Co
0.1538 0.6500 0.1538 Co
0.2111 0.5000 0.7889 Co
0.2111 0.7889 0.5000 Co
0.3500 0.8462 0.8462 Co
0.4036 0.4036 0.4036 Co
0.5000 0.0000 0.5000 Co
0.5000 0.2111 0.7889 Co
0.5000 0.5000 0.0000 Co
0.5000 0.7889 0.2111 Co
0.5964 0.5964 0.5964 Co
0.6500 0.1538 0.1538 Co
0.7889 0.2111 0.5000 Co
0.7889 0.5000 0.2111 Co
0.8462 0.3500 0.8462 Co
0.8462 0.8462 0.3500 Co
```

- Energy of formation from the pure elements: -9.13 kJ/mol of atoms
- Offset from the most stable computed form: 0 meV/atom
- Crystal system: trigonal
- Symmetry: R-3m

Entry 9:
This record from the Open Quantum Materials Database describes a relaxed YMgAg2 crystal. The functional is GGA-PBE.

Structure (POSCAR):
```
YMgAg2
1.0
5.0062 0.0000 0.0000
-2.5031 4.3355 0.0000
0.0000 0.0000 7.9596
Y Mg Ag
2 2 4
direct
0.0000 0.0000 0.2500 Y
0.0000 0.0000 0.7500 Y
0.3333 0.6667 0.2500 Mg
0.6667 0.3333 0.7500 Mg
0.3333 0.6667 0.5785 Ag
0.3333 0.6667 0.9215 Ag
0.6667 0.3333 0.0785 Ag
0.6667 0.3333 0.4215 Ag
```

- Crystal system: hexagonal
- Symmetry: P6_3/mmc
- Total energy: -3.441 eV per atom

Entry 10:
This record from the Open Quantum Materials Database describes a relaxed NaZn3Sb3 crystal. The functional is GGA-PBE.

Structure (POSCAR):
```
NaZn3Sb3
1.0
16.2114 -2.2699 0.0000
16.2114 2.2699 0.0000
-1.3928 0.0000 9.6147
Na Zn Sb
4 12 12
direct
0.0628 0.0628 0.4256 Na
0.3889 0.3889 0.0483 Na
0.6111 0.6111 0.9517 Na
0.9372 0.9372 0.5744 Na
0.0546 0.0546 0.7530 Zn
0.1626 0.1626 0.2448 Zn
0.2749 0.2749 0.0668 Zn
0.2817 0.2817 0.6131 Zn
0.3414 0.3414 0.3987 Zn
0.4510 0.4510 0.8166 Zn
0.5490 0.5490 0.1834 Zn
0.6586 0.6586 0.6013 Zn
0.7183 0.7183 0.3869 Zn
0.7251 0.7251 0.9332 Zn
0.8374 0.8374 0.7552 Zn
0.9454 0.9454 0.2470 Zn
0.0441 0.0441 0.0295 Sb
0.1361 0.1361 0.7139 Sb
0.1862 0.1862 0.9890 Sb
0.2544 0.2544 0.3222 Sb
0.3700 0.3700 0.6717 Sb
0.4862 0.4862 0.3457 Sb
0.5138 0.5138 0.6543 Sb
0.6300 0.6300 0.3283 Sb
0.7456 0.7456 0.6778 Sb
0.8138 0.8138 0.0110 Sb
0.8639 0.8639 0.2861 Sb
0.9559 0.9559 0.9705 Sb
```

- Crystal system: monoclinic
- Symmetry: C2/m
- Total energy: -2.656 eV per atom